# 1
Here is an optimized crystal structure of ZrZn2Ni from Alexandria. Energies are from GGA-PBEsol.

Results
Calculated formation energy   -1.00 eV/f.u.
Electronic total energy   -19.407 eV/f.u.

abc: 2.8885 3.1298 6.5189
angles: 90.00 90.00 90.00
With the nearest neighbours (Å) after each atom.
Space group Pmm2 (No. 25)
Asymmetric unit:
Zr (0.0000, 0.0000, 0.0000) x1  4 Ni 2.70, 2 Zr 2.89, 5 Zn 2.94-2.97
Zn (0.0000, 0.0000, 0.4558) x1  4 Ni 2.50, 4 Zn 2.61
Zn (0.5000, 0.5000, 0.6883) x1  6 Zn 2.61-2.89, 1 Ni 2.83
Ni (0.5000, 0.5000, 0.2536) x1  4 Zn 2.50, 4 Zr 2.70


# 2
Here is an optimized crystal structure of ZrZn2Ni from Alexandria. Energies are from GGA-PBEsol.

Results
Calculated formation energy   -1.37 eV/f.u.
Electronic total energy   -19.779 eV/f.u.

abc: 6.1367 6.1367 6.1367
angles: 90.00 90.00 90.00
With the nearest neighbours (Å) after each atom.
Space group F-43m (No. 216)
Asymmetric unit:
Zr (0.0000, 0.0000, 0.0000) x4  4 Zn 2.66, 4 Ni 2.66
Zn (0.0000, 0.0000, 0.5000) x4  4 Ni 2.66, 4 Zn 2.66
Zn (0.2500, 0.2500, 0.2500) x4  4 Zr 2.66, 4 Zn 2.66
Ni (0.2500, 0.2500, 0.7500) x4  4 Zr 2.66, 4 Zn 2.66


# 3
Here is an optimized crystal structure of ZrZnNi4 from Alexandria. Energies are from GGA-PBEsol.

Results
Calculated formation energy   -2.62 eV/f.u.
Electronic total energy   -37.918 eV/f.u.

abc: 6.6805 6.6805 6.6805
angles: 90.00 90.00 90.00
With the nearest neighbours (Å) after each atom.
Space group F-43m (No. 216)
Asymmetric unit:
Zr (0.0000, 0.0000, 0.0000) x4  12 Ni 2.77, 4 Zn 2.89
Zn (0.2500, 0.2500, 0.7500) x4  12 Ni 2.77, 4 Zr 2.89
Ni (0.1242, 0.1242, 0.3758) x16  6 Ni 2.35-2.38


# 4
Here is an optimized crystal structure of Zr2ZnNi from Alexandria. Energies are from GGA-PBEsol.

Results
Calculated formation energy   -0.18 eV/f.u.
Electronic total energy   -26.098 eV/f.u.

abc: 3.4289 3.4289 21.9069
angles: 90.00 90.00 120.00
With the nearest neighbours (Å) after each atom.
Space group R-3m (No. 166, hexagonal axes)
Asymmetric unit:
Zr (0.0000, 0.0000, 0.2401) x6  3 Ni 2.55, 3 Zn 2.84
Zn (0.0000, 0.0000, 0.0000) x3  6 Zr 2.84
Ni (0.0000, 0.0000, 0.5000) x3  6 Zr 2.55


# 5
Here is an optimized crystal structure of ZrNi2 from Alexandria. Energies are from GGA-PBEsol.

Results
Calculated formation energy   -1.17 eV/f.u.
Electronic total energy   -22.574 eV/f.u.

abc: 3.4653 5.0750 9.6345
angles: 90.00 90.00 90.00
With the nearest neighbours (Å) after each atom.
Space group Immm (No. 71)
Asymmetric unit:
Zr (0.0000, 0.0000, 0.1768) x4  8 Ni 2.59-2.76
Ni (0.0000, 0.2440, 0.5000) x4  6 Ni 2.43-2.60
Ni (0.0000, 0.5000, 0.1205) x4  5 Ni 2.32-2.43, 2 Zr 2.59


# 6
Here is an optimized crystal structure of Zr3Ni4 from Alexandria. Energies are from GGA-PBEsol.

Results
Calculated formation energy   -3.15 eV/f.u.
Electronic total energy   -55.052 eV/f.u.

abc: 11.8969 11.8969 5.1621
angles: 90.00 90.00 120.00
With the nearest neighbours (Å) after each atom.
Space group R-3 (No. 148, hexagonal axes)
Asymmetric unit:
Zr (0.0414, 0.8274, 0.2286) x18  8 Ni 2.51-2.80
Ni (0.0000, 0.0000, 0.0000) x3  2 Ni 2.58, 6 Zr 2.62
Ni (0.0000, 0.0000, 0.5000) x3  2 Ni 2.58, 6 Zr 2.73
Ni (0.0558, 0.7815, 0.7147) x18  6 Zr 2.51-2.80, 3 Ni 2.59-2.68


# 7
Here is an optimized crystal structure of Zr6Ni23 from Alexandria. Energies are from GGA-PBEsol.

Results
Calculated formation energy   -11.03 eV/f.u.
Electronic total energy   -207.193 eV/f.u.

abc: 11.3112 11.3112 11.3112
angles: 90.00 90.00 90.00
With the nearest neighbours (Å) after each atom.
Space group Fm-3m (No. 225)
Asymmetric unit:
Zr (0.0000, 0.0000, 0.2135) x24  12 Ni 2.69-2.86
Ni (0.0000, 0.0000, 0.5000) x4  8 Ni 2.35
Ni (0.0000, 0.2500, 0.2500) x24  8 Ni 2.31-2.48
Ni (0.1202, 0.1202, 0.3798) x32  7 Ni 2.35-2.50
Ni (0.1715, 0.1715, 0.1715) x32  9 Ni 2.31-2.51


# 8
Here is an optimized crystal structure of Zr4Ni from Alexandria. Energies are from GGA-PBEsol.

Results
Calculated formation energy   -0.61 eV/f.u.
Electronic total energy   -43.130 eV/f.u.

abc: 7.7934 7.7934 3.2214
angles: 90.00 90.00 90.00
With the nearest neighbours (Å) after each atom.
Space group I4/m (No. 87)
Asymmetric unit:
Zr (0.0812, 0.7235, 0.0000) x8  2 Ni 2.76, 4 Zr 3.08
Ni (0.0000, 0.0000, 0.5000) x2  8 Zr 2.76


# 9
Here is an optimized crystal structure of Zr2Ni7 from Alexandria. Energies are from GGA-PBEsol.

Results
Calculated formation energy   -4.09 eV/f.u.
Electronic total energy   -65.374 eV/f.u.

abc: 4.6310 8.1039 6.1971
angles: 90.00 105.86 90.00
With the nearest neighbours (Å) after each atom.
Space group C2/m (No. 12)
Asymmetric unit:
Zr (0.1059, 0.0000, 0.2715) x4  14 Ni 2.69-2.85
Ni (0.0000, 0.5000, 0.0000) x2  8 Ni 2.33-2.45
Ni (0.1256, 0.3339, 0.3438) x8  5 Ni 2.39-2.52
Ni (0.2500, 0.2500, 0.0000) x4  8 Ni 2.32-2.45


# 10
Here is an optimized crystal structure of Zr2Ni from Alexandria. Energies are from GGA-PBEsol.

Results
Calculated formation energy   -0.71 eV/f.u.
Electronic total energy   -25.048 eV/f.u.

abc: 12.0179 12.0179 12.0179
angles: 90.00 90.00 90.00
With the nearest neighbours (Å) after each atom.
Space group Fd-3m (No. 227, origin choice 2)
Asymmetric unit:
Zr (0.0000, 0.0000, 0.0000) x16  6 Ni 2.65
Zr (0.0633, 0.3750, 0.8750) x48  2 Ni 2.74
Ni (0.0347, 0.0347, 0.2153) x32  6 Zr 2.65-2.74


# 11
Here is an optimized crystal structure of ZrNi2 from Alexandria. Energies are from GGA-PBEsol.

Results
Calculated formation energy   -1.32 eV/f.u.
Electronic total energy   -22.726 eV/f.u.

abc: 6.8685 6.8685 6.8685
angles: 90.00 90.00 90.00
With the nearest neighbours (Å) after each atom.
Space group Fd-3m (No. 227, origin choice 2)
Asymmetric unit:
Zr (0.1250, 0.1250, 0.1250) x8  12 Ni 2.85, 4 Zr 2.97
Ni (0.0000, 0.0000, 0.5000) x16  6 Ni 2.43


# 12
Here is an optimized crystal structure of Zr2Ni from Alexandria. Energies are from GGA-PBEsol.

Results
Calculated formation energy   -1.03 eV/f.u.
Electronic total energy   -25.368 eV/f.u.

abc: 6.4256 6.4256 5.1367
angles: 90.00 90.00 90.00
With the nearest neighbours (Å) after each atom.
Space group I4/mcm (No. 140)
Asymmetric unit:
Zr (0.1629, 0.3371, 0.0000) x8  4 Ni 2.73, 3 Zr 2.96-3.02
Ni (0.0000, 0.0000, 0.2500) x4  2 Ni 2.57, 8 Zr 2.73


# 13
Here is an optimized crystal structure of Zr2Ni from Alexandria. Energies are from GGA-PBEsol.

Results
Calculated formation energy   -0.80 eV/f.u.
Electronic total energy   -25.134 eV/f.u.

abc: 10.8921 3.1718 6.4160
angles: 90.00 103.74 90.00
With the nearest neighbours (Å) after each atom.
Space group C2/m (No. 12)
Asymmetric unit:
Zr (0.1426, 0.0000, 0.0715) x4  2 Ni 2.70, 1 Zr 3.02
Zr (0.1562, 0.0000, 0.5948) x4  4 Ni 2.66-2.70
Ni (0.0191, 0.5000, 0.2950) x4  6 Zr 2.66-2.70, 1 Ni 2.76


# 14
Here is an optimized crystal structure of Np2O5 from Alexandria. Energies are from GGA-PBEsol.

Results
Formation energy without anion corrections   -19.8 eV per formula unit
Electronic total energy   -73.718 eV/f.u.

abc: 9.1205 6.6048 7.8730
angles: 90.00 115.37 90.00
With the nearest neighbours (Å) after each atom.
Space group C2/c (No. 15)
Asymmetric unit:
Np (0.0000, 0.0000, 0.0000) x4  6 O 2.03-2.20
Np (0.0000, 0.4630, 0.2500) x4  2 O 1.93
O (0.0000, 0.1094, 0.2500) x4  3 Np 2.10-2.34
O (0.0090, 0.3029, 0.9622) x8  2 Np 2.03-2.25
O (0.2340, 0.4700, 0.3631) x8  1 Np 1.93


# 15
Here is an optimized crystal structure of SrNpP2O8 from Alexandria. Energies are from GGA-PBEsol.

Results
Formation energy without anion corrections   -32.4 eV per formula unit
Electronic total energy   -101.690 eV/f.u.

abc: 10.4934 8.9218 13.2401
angles: 90.00 90.00 90.00
With the nearest neighbours (Å) after each atom.
Space group Cmce (No. 64)
Asymmetric unit:
Sr (0.2500, 0.0186, 0.2500) x8  10 O 2.59-2.76
Np (0.0000, 0.2281, 0.0935) x8  6 O 2.18-2.44
P (0.0000, 0.1799, 0.8183) x8  4 O 1.54-1.55
P (0.2269, 0.0000, 0.5000) x8  4 O 1.54-1.55
O (0.0000, 0.0065, 0.8124) x8  1 P 1.55
O (0.0000, 0.2334, 0.9286) x8  1 P 1.54
O (0.1171, 0.2376, 0.7587) x16  1 P 1.55
O (0.1423, 0.0832, 0.5778) x16  1 P 1.55
O (0.1898, 0.1052, 0.0648) x16  1 P 1.54


# 16
Here is an optimized crystal structure of Np2SO2 from Alexandria. Energies are from GGA-PBEsol.

Results
Formation energy without anion corrections   -11.8 eV per formula unit
Electronic total energy   -54.420 eV/f.u.

abc: 3.7918 3.7918 6.4636
angles: 90.00 90.00 120.00
With the nearest neighbours (Å) after each atom.
Space group P-3m1 (No. 164)
Asymmetric unit:
Np (0.3333, 0.6667, 0.2266) x2  4 O 2.28-2.29
S (0.0000, 0.0000, 0.5000) x1  6 Np 2.81
O (0.3333, 0.6667, 0.8723) x2  4 Np 2.28-2.29


# 17
Here is an optimized crystal structure of Np2SeO9 from Alexandria. Energies are from GGA-PBEsol.

Results
Formation energy without anion corrections   -22.4 eV per formula unit
Electronic total energy   -101.154 eV/f.u.

abc: 6.8629 6.7385 15.7112
angles: 90.00 90.92 90.00
With the nearest neighbours (Å) after each atom.
Space group P2_1/c (No. 14)
Asymmetric unit:
Np (0.2462, 0.1795, 0.3949) x4  2 O 1.83
Np (0.2480, 0.0412, 0.6559) x4  3 O 1.83-1.90
Se (0.2464, 0.5663, 0.5560) x4  4 O 1.66-1.68
O (0.0277, 0.5558, 0.8431) x4  1 Np 1.89
O (0.0943, 0.7483, 0.5858) x4  1 Se 1.68
O (0.1906, 0.0006, 0.9572) x4  1 Se 1.66
O (0.2369, 0.0748, 0.5025) x4  1 Np 1.83
O (0.2393, 0.1204, 0.1246) x4  1 Se 1.66
O (0.2537, 0.2125, 0.7882) x4  1 Np 1.83
O (0.2834, 0.6638, 0.2310) x4  1 Np 1.83
O (0.4595, 0.6815, 0.5591) x4  1 Se 1.66
O (0.4779, 0.5471, 0.8608) x4  1 Np 1.90


# 18
Here is an optimized crystal structure of NpSeO from Alexandria. Energies are from GGA-PBEsol.

Results
Formation energy without anion corrections   -6.2 eV per formula unit
Electronic total energy   -29.194 eV/f.u.

abc: 3.8062 3.8062 6.8841
angles: 90.00 90.00 90.00
With the nearest neighbours (Å) after each atom.
Space group P4/nmm (No. 129, origin choice 2)
Asymmetric unit:
Np (0.2500, 0.2500, 0.1820) x2  4 O 2.28
Se (0.2500, 0.2500, 0.6278) x2  5 Np 2.99-3.07, 4 O 3.19, 4 Se 3.22
O (0.2500, 0.7500, 0.0000) x2  4 Np 2.28


# 19
Here is an optimized crystal structure of ZrNpO4 from Alexandria. Energies are from GGA-PBEsol.

Results
Formation energy without anion corrections   -19.1 eV per formula unit
Electronic total energy   -63.002 eV/f.u.

abc: 5.2539 5.2539 5.2171
angles: 90.00 90.00 90.00
With the nearest neighbours (Å) after each atom.
Space group P4/nbm (No. 125, origin choice 2)
Asymmetric unit:
Zr (0.2500, 0.7500, 0.0000) x2  4 O 2.08
Np (0.2500, 0.2500, 0.5000) x2  8 O 2.30
O (0.0291, 0.5291, 0.2441) x8  1 Zr 2.08, 2 Np 2.30